Entry from Alexandria: a relaxed structure of Ac2PuCo3O12 (PBE+U).

Structure (extended XYZ):
```
18
Lattice="-1.9501 5.9157 2.1330 -3.2553 0.2703 5.7165 3.1366 2.5680 5.1880" Properties=species:S:1:pos:R:3 pbc="T T T"
Ac -1.2652 5.3535 7.9731
Ac -0.8036 3.4005 5.0644
Pu 0.0000 0.0000 0.0000
Co -0.9751 2.9579 1.0665
Co -1.6277 0.1352 2.8583
Co 1.5683 1.2840 2.5940
O 1.3205 3.9223 6.6601
O -3.1626 6.4251 8.9702
O -0.9285 4.9548 10.3119
O -1.7334 5.9321 4.8260
O -0.3552 7.4342 8.7380
O -2.5169 2.5428 6.9774
O -3.3893 4.8318 6.3774
O 1.0938 2.3289 4.0673
O -1.1403 3.7992 2.7256
O -0.3354 2.8219 8.2115
O -1.7136 1.3198 4.2994
O 0.4481 6.2112 6.0601
```

Properties
* calculated volume: 11.79 Å³ per atom
* DFT total energy: -128.4 eV per formula unit
* size of the total moment: 1.01 μB/f.u.